VSbMo2Pd (PBE, optimized geometry); space-group type = P4/mmm (123); energy relative to the elements, uncorrected = 1.130 eV/atom; Fermi-level density of states = 6.6 states/eV/cell
1.0
-1.350 -0.704 4.217
3.256 -3.686 0.427
3.088 2.898 1.472
Sb Mo Pd V
1 2 1 1
Direct
0.000 0.500 0.000 Sb
0.000 0.000 0.500 Mo
0.500 0.000 0.000 Mo
0.500 0.500 0.500 Pd
0.000 0.000 0.000 V